# SrPb3S4

A relaxed structure of SrPb3S4 (GGA-PBEsol, the Alexandria database).

The space group is R-3m (No. 166, hexagonal axes) and the conventional cell measures 4.1829, 4.1829 and 41.0254 Å, with angles of 90.00, 90.00 and 120.00 degrees. Symmetry generates all atoms from Sr at (0.0000, 0.0000, 0.0000), Pb at (0.0000, 0.0000, 0.2494), Pb at (0.0000, 0.0000, 0.5000), S at (0.0000, 0.0000, 0.1253) and S at (0.0000, 0.0000, 0.3749).

The electronic total energy is -4.86 eV/atom. The value obtained for the uncorrected formation energy is -91 kJ per mole of atoms.